# BeFe2Os

Crystalline BeFe2Os at its relaxed geometry (GGA-PBE, the Alexandria database).

Calculated values
Electronic total energy = -7.937 eV/atom
ΔE_f = 3 kJ/mol of atoms

```
data_BeFe2Os
_chemical_formula_sum 'Be2 Fe4 Os2'
_cell_length_a 2.855
_cell_length_b 4.001
_cell_length_c 7.738
_cell_angle_alpha 90.00
_cell_angle_beta 90.00
_cell_angle_gamma 90.00
_space_group_name_H-M_alt 'I m m 2'
_space_group_IT_number 44
_space_group_name_Hall 'I 2 -2'
loop_
_atom_site_label
_atom_site_type_symbol
_atom_site_fract_x
_atom_site_fract_y
_atom_site_fract_z
Be1 Be 0.000 0.000 0.000
Fe1 Fe 0.000 0.000 0.487
Fe2 Fe 0.000 0.500 0.726
Os1 Os 0.000 0.500 0.255
```

***

# LaMgIn2

Crystalline LaMgIn2 at its relaxed geometry (GGA-PBE, the Alexandria database).

Calculated values
Electronic total energy = -3.299 eV/atom
ΔE_f = -29 kJ/mol of atoms

```
data_LaMgIn2
_chemical_formula_sum 'La2 Mg2 In4'
_cell_length_a 5.0602
_cell_length_b 5.0602
_cell_length_c 10.5958
_cell_angle_alpha 90.00
_cell_angle_beta 90.00
_cell_angle_gamma 120.00
_space_group_name_H-M_alt 'P -3 m 1'
_space_group_IT_number 164
_space_group_name_Hall '-P 3 2"'
loop_
_atom_site_label
_atom_site_type_symbol
_atom_site_fract_x
_atom_site_fract_y
_atom_site_fract_z
La1 La 0.0000 0.0000 0.1942
Mg1 Mg 0.3333 0.6667 0.6069
In1 In 0.3333 0.6667 0.0261
In2 In 0.3333 0.6667 0.3243
```